# 1
## LiHoSi2Rh (PBE)

Data for a relaxed LiHoSi2Rh crystal.

Cell lengths 4.017, 4.017, 10.161 Å; angles 90.00, 90.00, 90.00 degrees
Element x y z (fractional)
1 Li 0.000 0.000 0.000
2 Li 0.500 0.500 0.500
3 Ho 0.000 0.500 0.250
4 Ho 0.500 0.000 0.750
5 Si 0.000 0.500 0.634
6 Si 0.000 0.500 0.866
7 Si 0.500 0.000 0.134
8 Si 0.500 0.000 0.366
9 Rh 0.000 0.000 0.500
10 Rh 0.500 0.500 0.000

Calculated values
Crystal system = tetragonal
Uncorrected formation energy = -779 meV/atom

# 2
## LiSmHo2Rh4 (PBE)

Data for a relaxed LiSmHo2Rh4 crystal.

Cell lengths 8.232, 8.232, 8.232 Å; angles 33.29, 33.29, 33.29 degrees
Element x y z (fractional)
1 Li 0.000 0.000 0.000
2 Sm 0.500 0.500 0.500
3 Ho 0.259 0.259 0.259
4 Ho 0.741 0.741 0.741
5 Rh 0.122 0.122 0.122
6 Rh 0.376 0.376 0.376
7 Rh 0.624 0.624 0.624
8 Rh 0.878 0.878 0.878

Calculated values
Crystal system = trigonal
Formation enthalpy at 0 K = -0.68 eV per atom

# 3
## LiHoSn2Rh4 (PBE)

Data for a relaxed LiHoSn2Rh4 crystal.

Cell lengths 7.912, 7.912, 7.912 Å; angles 33.31, 33.31, 33.31 degrees
Element x y z (fractional)
1 Li 0.000 0.000 0.000
2 Ho 0.500 0.500 0.500
3 Sn 0.255 0.255 0.255
4 Sn 0.745 0.745 0.745
5 Rh 0.120 0.120 0.120
6 Rh 0.374 0.374 0.374
7 Rh 0.626 0.626 0.626
8 Rh 0.880 0.880 0.880

Calculated values
Crystal system = trigonal
Formation enthalpy at 0 K = -0.69 eV per atom

# 4
## SrLiHoRh (PBE)

Data for a relaxed SrLiHoRh crystal.

Cell lengths 7.202, 7.202, 7.202 Å; angles 90.00, 90.00, 90.00 degrees
Element x y z (fractional)
1 Sr 0.000 0.000 0.000
2 Sr 0.000 0.500 0.500
3 Sr 0.500 0.000 0.500
4 Sr 0.500 0.500 0.000
5 Li 0.250 0.250 0.750
6 Li 0.250 0.750 0.250
7 Li 0.750 0.250 0.250
8 Li 0.750 0.750 0.750
9 Ho 0.000 0.000 0.500
10 Ho 0.000 0.500 0.000
11 Ho 0.500 0.000 0.000
12 Ho 0.500 0.500 0.500
13 Rh 0.250 0.250 0.250
14 Rh 0.250 0.750 0.750
15 Rh 0.750 0.250 0.750
16 Rh 0.750 0.750 0.250

Calculated values
Crystal system = cubic
Formation enthalpy at 0 K = -0.22 eV per atom

Here are the calculated volume numbers, same order: 164, 150, 133, 374 (Å³/cell).